# KCo2Te

An optimized crystal structure of KCo2Te (PBE, Alexandria).

Structure (CIF):
```
data_KCo2Te
_chemical_formula_sum 'K1 Co2 Te1'
_cell_length_a 4.2687
_cell_length_b 4.4797
_cell_length_c 5.8095
_cell_angle_alpha 90.00
_cell_angle_beta 93.54
_cell_angle_gamma 90.00
_space_group_name_H-M_alt 'P 1'
_space_group_IT_number 1
loop_
_space_group_symop_operation_xyz
'x,y,z'
loop_
_atom_site_label
_atom_site_type_symbol
_atom_site_fract_x
_atom_site_fract_y
_atom_site_fract_z
K1 K 0.0000 0.0000 0.0000
Co1 Co 0.2450 0.5000 0.5682
Co2 Co 0.7550 0.5000 0.4318
Te1 Te 0.5000 0.0000 0.5000
```

Calculated values
Formation energy (no corrections) = 0.37 eV per atom
M_tot = 3.0 μB/f.u.
Density of states at the Fermi level = 3.36 states/eV/f.u.

# Ti6CrSb2

An optimized crystal structure of Ti6CrSb2 (PBE, Alexandria).

Structure (CIF):
```
data_Ti6CrSb2
_chemical_formula_sum 'Ti6 Cr1 Sb2'
_cell_length_a 3.4209
_cell_length_b 7.3380
_cell_length_c 7.3380
_cell_angle_alpha 119.65
_cell_angle_beta 90.00
_cell_angle_gamma 90.00
_space_group_name_H-M_alt 'P 1'
_space_group_IT_number 1
loop_
_space_group_symop_operation_xyz
'x,y,z'
loop_
_atom_site_label
_atom_site_type_symbol
_atom_site_fract_x
_atom_site_fract_y
_atom_site_fract_z
Ti1 Ti 0.0000 0.0000 0.0000
Ti2 Ti 0.0000 0.5156 0.7541
Ti3 Ti 0.0000 0.7541 0.5156
Ti4 Ti 0.5000 0.1388 0.7579
Ti5 Ti 0.5000 0.3730 0.3730
Ti6 Ti 0.5000 0.7579 0.1388
Cr1 Cr 0.5000 0.7624 0.7624
Sb1 Sb 0.0000 0.0897 0.4246
Sb2 Sb 0.0000 0.4246 0.0897
```

Calculated values
Formation energy (no corrections) = -0.30 eV per atom
M_tot = 0.0 μB/f.u.
Density of states at the Fermi level = 10.61 states/eV/f.u.

# Er2Th

An optimized crystal structure of Er2Th (PBE, Alexandria).

Structure (CIF):
```
data_Er2Th
_chemical_formula_sum 'Er2 Th1'
_cell_length_a 7.8485
_cell_length_b 7.8485
_cell_length_c 7.8485
_cell_angle_alpha 153.81
_cell_angle_beta 153.81
_cell_angle_gamma 37.37
_space_group_name_H-M_alt 'P 1'
_space_group_IT_number 1
loop_
_space_group_symop_operation_xyz
'x,y,z'
loop_
_atom_site_label
_atom_site_type_symbol
_atom_site_fract_x
_atom_site_fract_y
_atom_site_fract_z
Er1 Er 0.1624 0.1624 0.0000
Er2 Er 0.8376 0.8376 0.0000
Th1 Th 0.5000 0.5000 0.0000
```

Calculated values
Energy relative to the elements = 0.07 eV/f.u.
Offset from the most stable computed form = 41 meV/atom
M_tot = 0.0 μB/f.u.
Density of states at the Fermi level = 4.50 states/eV/f.u.

# CaFeAg2

An optimized crystal structure of CaFeAg2 (PBE, Alexandria).

Structure (CIF):
```
data_CaFeAg2
_chemical_formula_sum 'Ca1 Fe1 Ag2'
_cell_length_a 4.8340
_cell_length_b 4.8340
_cell_length_c 4.8340
_cell_angle_alpha 60.00
_cell_angle_beta 60.00
_cell_angle_gamma 60.00
_space_group_name_H-M_alt 'P 1'
_space_group_IT_number 1
loop_
_space_group_symop_operation_xyz
'x,y,z'
loop_
_atom_site_label
_atom_site_type_symbol
_atom_site_fract_x
_atom_site_fract_y
_atom_site_fract_z
Ca1 Ca 0.0000 0.0000 0.0000
Fe1 Fe 0.5000 0.5000 0.5000
Ag1 Ag 0.2500 0.2500 0.2500
Ag2 Ag 0.7500 0.7500 0.7500
```

Calculated values
Energy relative to the elements = 0.94 eV/f.u.
Offset from the most stable computed form = 35 meV/atom
M_tot = 3.0 μB/f.u.
Density of states at the Fermi level = 3.79 states/eV/f.u.

# KNa2Hg

An optimized crystal structure of KNa2Hg (PBE, Alexandria).

Structure (CIF):
```
data_KNa2Hg
_chemical_formula_sum 'K1 Na2 Hg1'
_cell_length_a 5.7676
_cell_length_b 5.7676
_cell_length_c 5.7676
_cell_angle_alpha 60.00
_cell_angle_beta 60.00
_cell_angle_gamma 60.00
_space_group_name_H-M_alt 'P 1'
_space_group_IT_number 1
loop_
_space_group_symop_operation_xyz
'x,y,z'
loop_
_atom_site_label
_atom_site_type_symbol
_atom_site_fract_x
_atom_site_fract_y
_atom_site_fract_z
K1 K 0.0000 0.0000 0.0000
Na1 Na 0.2500 0.2500 0.2500
Na2 Na 0.7500 0.7500 0.7500
Hg1 Hg 0.5000 0.5000 0.5000
```

Calculated values
Energy relative to the elements = -0.36 eV/f.u.
Offset from the most stable computed form = 61 meV/atom
M_tot = 0.0 μB/f.u.
Density of states at the Fermi level = 1.84 states/eV/f.u.

# K4TcMo

An optimized crystal structure of K4TcMo (PBE, Alexandria).

Structure (CIF):
```
data_K4TcMo
_chemical_formula_sum 'K4 Tc1 Mo1'
_cell_length_a 7.0218
_cell_length_b 7.0218
_cell_length_c 7.0218
_cell_angle_alpha 60.00
_cell_angle_beta 60.00
_cell_angle_gamma 60.00
_space_group_name_H-M_alt 'P 1'
_space_group_IT_number 1
loop_
_space_group_symop_operation_xyz
'x,y,z'
loop_
_atom_site_label
_atom_site_type_symbol
_atom_site_fract_x
_atom_site_fract_y
_atom_site_fract_z
K1 K 0.1251 0.1251 0.1251
K2 K 0.1251 0.1251 0.6246
K3 K 0.1251 0.6246 0.1251
K4 K 0.6246 0.1251 0.1251
Tc1 Tc 0.5000 0.5000 0.5000
Mo1 Mo 0.7500 0.7500 0.7500
```

Calculated values
Energy relative to the elements = 10.58 eV/f.u.
M_tot = 8.5 μB/f.u.
Density of states at the Fermi level = 6.53 states/eV/f.u.

Table of E (eV per atom), in record order: -4.243 -7.552 -5.492 -3.806 -1.099 -2.501